[1]
## NaAlGa2 (PBE)

Data for a relaxed NaAlGa2 crystal.

a b c (Å): 3.9593 4.4161 4.4161
angles (deg): 90.00 90.00 90.00
Closest atoms and distances in Å follow each position.
Fractional positions:
Na 0.5000 0.0000 0.0000  8 Ga 2.97, 4 Al 3.12
Al 0.5000 0.5000 0.5000  8 Ga 2.97, 4 Na 3.12
Ga 0.0000 0.0000 0.5000  4 Na 2.97, 4 Al 2.97, 4 Ga 3.12
Ga 0.0000 0.5000 0.0000  4 Na 2.97, 4 Al 2.97, 4 Ga 3.12

Its total energy is -2.733 eV/atom. The crystal system is tetragonal. For the calculated formation energy, the calculation gives 46 meV/atom. Its space group is P4/mmm, No. 123.

[2]
## Be2CdTe (PBE)

Data for a relaxed Be2CdTe crystal.

a b c (Å): 6.1821 6.1821 6.3353
angles (deg): 60.80 60.80 90.00
Closest atoms and distances in Å follow each position.
Fractional positions:
Be 0.6445 0.1250 0.2500  2 Te 2.39, 2 Cd 2.55
Be 0.1055 0.6250 0.2500  2 Te 2.39, 2 Cd 2.55
Be 0.3750 0.3555 0.7500  2 Te 2.39, 2 Cd 2.55
Be 0.8750 0.8945 0.7500  2 Te 2.39, 2 Cd 2.55
Te 0.0000 0.0000 0.0000  4 Be 2.39
Te 0.7500 0.2500 0.5000  4 Be 2.39
Cd 0.5000 0.5000 0.0000  4 Be 2.55
Cd 0.2500 0.7500 0.5000  4 Be 2.55

For the energy above the most stable polymorph in this dataset, the calculation gives 123.8 meV per atom. Its total energy is -2.450 eV/atom. The crystal system is tetragonal. The value obtained for the uncorrected formation energy is 0.427 eV/atom. Its space group is I-42d, No. 122.

[3]
## MnCuIr (PBE)

Data for a relaxed MnCuIr crystal.

a b c (Å): 6.7246 6.5014 2.6816
angles (deg): 83.02 73.67 23.32
Closest atoms and distances in Å follow each position.
Fractional positions:
Cu 0.0036 0.0036 0.9964  2 Mn 2.52, 2 Ir 2.64, 4 Cu 2.68
Ir 0.3299 0.3299 0.6701  2 Mn 2.53, 2 Cu 2.64, 4 Ir 2.68
Mn 0.6664 0.6664 0.3336  2 Cu 2.52, 2 Ir 2.53, 4 Mn 2.68

For the energy above the most stable polymorph in this dataset, the calculation gives 171.9 meV per atom. Its total energy is -7.197 eV/atom. The crystal system is orthorhombic. For the calculated formation energy, the calculation gives 178 meV/atom. Its space group is Fmm2, No. 42.

[4]
## ZrCoSe2 (PBE)

Data for a relaxed ZrCoSe2 crystal.

a b c (Å): 5.6367 5.6367 5.6367
angles (deg): 140.90 140.90 56.49
Closest atoms and distances in Å follow each position.
Fractional positions:
Co 0.7500 0.2500 0.5000  4 Se 2.67
Se 0.0000 0.0000 0.0000  4 Zr 2.67
Se 0.2500 0.7500 0.5000  4 Co 2.67
Zr 0.5000 0.5000 0.0000  4 Se 2.67

For the energy above the most stable polymorph in this dataset, the calculation gives 413.9 meV per atom. Its total energy is -5.989 eV/atom. The crystal system is tetragonal. The value obtained for the uncorrected formation energy is -0.333 eV/atom. Its space group is I-4m2, No. 119.

[5]
## PmNdTmAl (PBE)

Data for a relaxed PmNdTmAl crystal.

a b c (Å): 5.4235 5.4235 5.4235
angles (deg): 60.00 60.00 60.00
Closest atoms and distances in Å follow each position.
Fractional positions:
Tm 0.0000 0.0000 0.0000  4 Nd 3.32, 4 Pm 3.32
Nd 0.7500 0.7500 0.7500  4 Al 3.32, 4 Tm 3.32
Al 0.5000 0.5000 0.5000  4 Pm 3.32, 4 Nd 3.32
Pm 0.2500 0.2500 0.2500  4 Tm 3.32, 4 Al 3.32

For the energy above the most stable polymorph in this dataset, the calculation gives 105.9 meV per atom. Its total energy is -4.506 eV/atom. The crystal system is cubic. For the calculated formation energy, the calculation gives -73 meV/atom. Its space group is F-43m, No. 216.

[6]
## LaBOsO2 (PBE)

Data for a relaxed LaBOsO2 crystal.

a b c (Å): 4.0457 4.0628 4.0457
angles (deg): 90.00 90.00 90.00
Closest atoms and distances in Å follow each position.
Fractional positions:
B 0.0000 0.0000 0.0000  4 O 2.02, 2 Os 2.03
Os 0.0000 0.5000 0.0000  2 B 2.03
O 0.0000 0.0000 0.5000  2 B 2.02
O 0.5000 0.0000 0.0000  2 B 2.02
La 0.5000 0.5000 0.5000  4 Os 2.86, 8 O 2.87

Its total energy is -6.721 eV/atom. The crystal system is tetragonal. The value obtained for the uncorrected formation energy is -0.171 eV/atom. Its space group is P4/mmm, No. 123.

[7]
## As2H3Pd8 (PBE)

Data for a relaxed As2H3Pd8 crystal.

a b c (Å): 5.5357 5.7991 6.4893
angles (deg): 116.54 107.23 90.00
Closest atoms and distances in Å follow each position.
Fractional positions:
As 0.2977 0.2555 0.5109  6 Pd 2.41-2.46
As 0.7023 0.7445 0.4891  6 Pd 2.41-2.46
H 0.5000 0.0000 0.0000  6 Pd 2.02-2.07
H 0.0000 0.2928 0.0000  2 Pd 1.85
H 0.0000 0.7072 0.0000  2 Pd 1.85
Pd 0.9575 0.6124 0.2247  2 H 1.85
Pd 0.0425 0.3876 0.7753  2 H 1.85
Pd 0.8638 0.1174 0.2348  1 H 2.02
Pd 0.1362 0.8826 0.7652  1 H 2.02
Pd 0.6061 0.6507 0.7936  2 H 2.07-2.13
Pd 0.6061 0.1429 0.7936  2 H 2.07-2.13
Pd 0.3939 0.8571 0.2064  2 H 2.07-2.13
Pd 0.3939 0.3493 0.2064  2 H 2.07-2.13

Its total energy is -4.822 eV/atom. The crystal system is monoclinic. Its space group is C2/m, No. 12.

[8]
## Mn2Co2Ni (PBE)

Data for a relaxed Mn2Co2Ni crystal.

a b c (Å): 2.4465 3.9192 6.0730
angles (deg): 108.84 101.63 89.98
Closest atoms and distances in Å follow each position.
Fractional positions:
Mn 0.7118 0.2117 0.4234  4 Co 2.32-2.44, 6 Mn 2.45-2.47
Mn 0.2882 0.7883 0.5766  4 Co 2.32-2.44, 6 Mn 2.45-2.47
Co 0.3999 0.3996 0.7993  3 Co 2.25-2.45, 4 Mn 2.32-2.44
Co 0.6001 0.6004 0.2007  3 Co 2.25-2.45, 4 Mn 2.32-2.44
Ni 0.0000 0.0000 0.0000  2 Ni 2.45, 8 Co 2.57, 4 Mn 2.67

For the energy above the most stable polymorph in this dataset, the calculation gives 0.0 meV per atom. Its total energy is -7.512 eV/atom. The crystal system is orthorhombic. For the calculated formation energy, the calculation gives 155 meV/atom. Its space group is Immm, No. 71.

[9]
## Sc2Zn16Ir (PBE)

Data for a relaxed Sc2Zn16Ir crystal.

a b c (Å): 6.7063 6.7063 6.7063
angles (deg): 82.59 82.59 82.59
Closest atoms and distances in Å follow each position.
Fractional positions:
Sc 0.6829 0.6829 0.6829  1 Ir 2.80, 3 Zn 3.08
Sc 0.3364 0.3364 0.3364  19 Zn 3.04-3.38
Zn 0.7051 0.9971 0.2917  8 Zn 2.53-2.80
Zn 0.9971 0.2917 0.7051  8 Zn 2.53-2.80
Zn 0.2917 0.7051 0.9971  8 Zn 2.53-2.80
Zn 0.9971 0.7051 0.2917  8 Zn 2.53-2.80
Zn 0.7051 0.2917 0.9971  8 Zn 2.53-2.80
Zn 0.2917 0.9971 0.7051  8 Zn 2.53-2.80
Zn 0.3617 0.8306 0.3617  8 Zn 2.52-2.80
Zn 0.8306 0.3617 0.3617  8 Zn 2.52-2.80
Zn 0.3617 0.3617 0.8306  8 Zn 2.52-2.80
Zn 0.6452 0.1483 0.6452  8 Zn 2.52-2.75, 1 Ir 2.80
Zn 0.1483 0.6452 0.6452  8 Zn 2.52-2.75, 1 Ir 2.80
Zn 0.6452 0.6452 0.1483  8 Zn 2.52-2.75, 1 Ir 2.80
Zn 0.9996 0.5001 0.9996  9 Zn 2.53-2.69, 1 Ir 2.69
Zn 0.5001 0.9996 0.9996  9 Zn 2.53-2.69, 1 Ir 2.69
Zn 0.9996 0.9996 0.5001  9 Zn 2.53-2.69, 1 Ir 2.69
Zn 0.1030 0.1030 0.1030  1 Ir 2.67, 12 Zn 2.69-2.93
Ir 0.8980 0.8980 0.8980  13 Zn 2.67-2.90, 1 Sc 2.80

Its total energy is -2.396 eV/atom. The crystal system is trigonal. For the calculated formation energy, the calculation gives -191 meV/atom. Its space group is R3m, No. 160.

[10]
## TbMgSi2 (PBE)

Data for a relaxed TbMgSi2 crystal.

a b c (Å): 4.0443 4.3698 4.3698
angles (deg): 90.00 90.00 90.00
Closest atoms and distances in Å follow each position.
Fractional positions:
Si 0.0000 0.0000 0.5000  4 Mg 2.98, 4 Tb 2.98, 4 Si 3.09
Si 0.0000 0.5000 0.0000  4 Tb 2.98, 4 Mg 2.98, 4 Si 3.09
Tb 0.5000 0.5000 0.5000  8 Si 2.98, 4 Mg 3.09
Mg 0.5000 0.0000 0.0000  8 Si 2.98, 4 Tb 3.09

For the energy above the most stable polymorph in this dataset, the calculation gives 120.3 meV per atom. Its total energy is -4.594 eV/atom. The crystal system is tetragonal. The value obtained for the uncorrected formation energy is -0.327 eV/atom. Its space group is P4/mmm, No. 123.

[11]
## Cd2PtW (PBE)

Data for a relaxed Cd2PtW crystal.

a b c (Å): 5.1956 5.6858 2.7885
angles (deg): 78.43 84.39 115.65
Closest atoms and distances in Å follow each position.
Fractional positions:
W 0.5000 0.5000 0.0000  2 W 2.79, 4 Pt 2.83-3.07, 4 Cd 2.90
Pt 0.0000 0.5000 0.5000  2 Pt 2.79, 4 W 2.83-3.07, 4 Cd 2.90
Cd 0.0000 0.0000 0.0000  6 Cd 2.79-3.07, 2 W 2.90, 2 Pt 2.90
Cd 0.5000 0.0000 0.5000  6 Cd 2.79-3.07, 2 Pt 2.90, 2 W 2.90

For the energy above the most stable polymorph in this dataset, the calculation gives 275.4 meV per atom. Its total energy is -4.885 eV/atom. The crystal system is monoclinic. For the calculated formation energy, the calculation gives 321 meV/atom. Its space group is C2/m, No. 12.

[12]
## MnPt2Au6 (PBE)

Data for a relaxed MnPt2Au6 crystal.

a b c (Å): 4.0897 4.9683 8.7185
angles (deg): 74.22 90.00 114.30
Closest atoms and distances in Å follow each position.
Fractional positions:
Mn 0.0000 0.0000 0.5000  12 Au 2.85-2.92
Pt 0.6642 0.3283 0.9473  3 Pt 2.84-2.88, 9 Au 2.88-2.95
Pt 0.3358 0.6717 0.0527  3 Pt 2.84-2.88, 9 Au 2.88-2.95
Au 0.9969 0.9938 0.8332  6 Au 2.86-2.92, 5 Pt 2.88-2.89, 1 Mn 2.90
Au 0.6680 0.3361 0.2772  7 Au 2.86-2.90, 3 Pt 2.89-2.92, 2 Mn 2.92
Au 0.3320 0.6639 0.7228  7 Au 2.86-2.90, 3 Pt 2.89-2.92, 2 Mn 2.92
Au 0.6643 0.3286 0.6085  3 Mn 2.85-2.90, 8 Au 2.87-2.92, 1 Pt 2.95
Au 0.3357 0.6714 0.3915  3 Mn 2.85-2.90, 8 Au 2.87-2.92, 1 Pt 2.95
Au 0.0031 0.0062 0.1668  6 Au 2.86-2.92, 5 Pt 2.88-2.89, 1 Mn 2.90

For the energy above the most stable polymorph in this dataset, the calculation gives 40.4 meV per atom. Its total energy is -4.563 eV/atom. The crystal system is monoclinic. For the calculated formation energy, the calculation gives -17 meV/atom. Its space group is C2/m, No. 12.